# 1
Pd6PtAu3 | PBE | relaxed

Output
Space-group type: P2_1/c (14)
Energy above the most stable polymorph in this dataset in meV per atom: 0.0

a = 2.840 Å, b = 4.908 Å, c = 23.453 Å
α = 90.00°, β = 97.07°, γ = 90.00°
Sites, in units of the cell vectors:
Au1 0.200 0.667 0.700
Au2 0.000 0.000 0.500
Au3 0.500 0.500 0.000
Au4 0.800 0.333 0.300
Au5 0.300 0.167 0.800
Au6 0.700 0.833 0.200
Pd1 0.401 0.175 0.401
Pd2 0.598 0.170 0.098
Pd3 0.599 0.825 0.599
Pd4 0.901 0.325 0.901
Pd5 0.099 0.675 0.099
Pd6 0.305 0.832 0.304
Pd7 0.098 0.330 0.598
Pd8 0.695 0.168 0.696
Pd9 0.902 0.670 0.402
Pd10 0.195 0.332 0.196
Pd11 0.402 0.830 0.902
Pd12 0.805 0.668 0.804
Pt1 0.500 0.500 0.500
Pt2 0.000 0.000 0.000

---

# 2
PdPtAu2 | PBE | relaxed

Output
Space-group type: C2/m (12)
Energy above the most stable polymorph in this dataset in meV per atom: 19.0

a = 2.821 Å, b = 7.410 Å, c = 7.686 Å
α = 109.98°, β = 100.56°, γ = 101.02°
Sites, in units of the cell vectors:
Au1 0.984 0.593 0.730
Au2 0.571 0.074 0.424
Au3 0.677 0.966 0.741
Au4 0.089 0.486 0.047
Pt1 0.444 0.165 0.077
Pt2 0.217 0.394 0.394
Pd1 0.772 0.831 0.068
Pd2 0.889 0.729 0.403

---

# 3
Pd4PtAu2 | PBE | relaxed

Output
Space-group type: I-42d (122)
Energy above the most stable polymorph in this dataset in meV per atom: 102.2

a = 6.811 Å, b = 6.811 Å, c = 6.811 Å
α = 109.22°, β = 109.97°, γ = 109.22°
Sites, in units of the cell vectors:
Au1 0.496 0.371 0.625
Au2 0.254 0.629 0.125
Au3 0.875 0.129 0.504
Au4 0.375 0.871 0.746
Pd1 0.960 0.592 0.709
Pd2 0.117 0.908 0.367
Pd3 0.633 0.750 0.040
Pd4 0.291 0.250 0.883
Pd5 0.633 0.750 0.541
Pd6 0.117 0.408 0.367
Pd7 0.790 0.250 0.883
Pd8 0.459 0.092 0.210
Pt1 0.000 0.000 0.000
Pt2 0.750 0.500 0.250

---

# 4
PdPt2Au6 | PBE | relaxed

Output
Space-group type: C2/m (12)
Energy above the most stable polymorph in this dataset in meV per atom: 0.0

a = 4.143 Å, b = 4.968 Å, c = 8.653 Å
α = 74.03°, β = 90.00°, γ = 114.64°
Sites, in units of the cell vectors:
Au1 0.665 0.330 0.611
Au2 0.330 0.661 0.724
Au3 0.335 0.670 0.389
Au4 0.996 0.992 0.835
Au5 0.670 0.339 0.276
Au6 0.004 0.008 0.165
Pt1 0.665 0.330 0.946
Pt2 0.335 0.670 0.054
Pd1 0.000 0.000 0.500

---

# 5
Pd5PtAu | PBE | relaxed

Output
Space-group type: C2/c (15)
Energy above the most stable polymorph in this dataset in meV per atom: 54.3

a = 5.394 Å, b = 5.394 Å, c = 9.620 Å
α = 80.92°, β = 80.92°, γ = 59.80°
Sites, in units of the cell vectors:
Pd1 0.262 0.217 0.775
Pd2 0.273 0.727 0.750
Pd3 0.738 0.783 0.225
Pd4 0.696 0.593 0.492
Pd5 0.727 0.273 0.250
Pd6 0.783 0.738 0.725
Pd7 0.407 0.304 0.008
Pd8 0.304 0.407 0.508
Pd9 0.593 0.696 0.992
Pd10 0.217 0.262 0.275
Au1 0.000 0.000 0.500
Au2 0.000 0.000 0.000
Pt1 0.243 0.757 0.250
Pt2 0.757 0.243 0.750

---

# 6
Pd2Pt5Au | PBE | relaxed

Output
Space-group type: Pbam (55)

a = 3.904 Å, b = 5.688 Å, c = 11.414 Å
α = 90.00°, β = 90.00°, γ = 90.00°
Sites, in units of the cell vectors:
Au1 0.000 0.500 0.000
Au2 0.000 0.000 0.500
Pd1 0.500 0.749 0.876
Pd2 0.500 0.751 0.376
Pd3 0.500 0.251 0.124
Pd4 0.500 0.249 0.624
Pt1 0.500 0.260 0.370
Pt2 0.500 0.240 0.870
Pt3 0.000 0.494 0.750
Pt4 0.000 0.000 0.000
Pt5 0.000 0.506 0.250
Pt6 0.000 0.500 0.500
Pt7 0.500 0.760 0.130
Pt8 0.000 0.994 0.750
Pt9 0.000 0.006 0.250
Pt10 0.500 0.740 0.630

---

# 7
Pd6PtAu3 | PBE | relaxed

Output
Space-group type: C2/m (12)
Energy above the most stable polymorph in this dataset in meV per atom: 194.3

a = 7.116 Å, b = 5.511 Å, c = 5.511 Å
α = 56.80°, β = 74.05°, γ = 74.05°
Sites, in units of the cell vectors:
Pd1 0.917 0.336 0.336
Pd2 0.685 0.910 0.409
Pd3 0.315 0.090 0.591
Pd4 0.315 0.591 0.090
Pd5 0.083 0.664 0.664
Pd6 0.685 0.409 0.910
Au1 0.687 0.899 0.899
Au2 0.313 0.101 0.101
Au3 0.000 0.000 0.000
Pt1 0.500 0.500 0.500

---

# 8
Pd8PtAu6 | PBE | relaxed

Output
Space-group type: R-3 (148)
Energy above the most stable polymorph in this dataset in meV per atom: 24.3

a = 7.512 Å, b = 7.512 Å, c = 7.001 Å
α = 57.55°, β = 57.55°, γ = 60.00°
Sites, in units of the cell vectors:
Pd1 0.247 0.247 0.259
Pd2 0.753 0.753 0.741
Pd3 0.413 0.838 0.619
Pd4 0.870 0.587 0.381
Pd5 0.587 0.162 0.381
Pd6 0.838 0.130 0.619
Pd7 0.130 0.413 0.619
Pd8 0.162 0.870 0.381
Au1 0.335 0.623 0.129
Au2 0.088 0.665 0.871
Au3 0.665 0.377 0.871
Au4 0.377 0.088 0.871
Au5 0.623 0.912 0.129
Au6 0.912 0.335 0.129
Pt1 0.000 0.000 0.000

---

# 9
Pd5PtAu2 | PBE | relaxed

Output
Space-group type: Pbam (55)
Energy above the most stable polymorph in this dataset in meV per atom: 0.0

a = 3.967 Å, b = 5.694 Å, c = 11.374 Å
α = 90.00°, β = 90.00°, γ = 90.00°
Sites, in units of the cell vectors:
Pd1 0.000 0.992 0.251
Pd2 0.000 0.492 0.249
Pd3 0.000 0.500 0.500
Pd4 0.000 0.008 0.749
Pd5 0.500 0.243 0.377
Pd6 0.000 0.000 0.000
Pd7 0.500 0.743 0.123
Pd8 0.000 0.508 0.751
Pd9 0.500 0.257 0.877
Pd10 0.500 0.757 0.623
Au1 0.500 0.757 0.874
Au2 0.500 0.257 0.626
Au3 0.500 0.243 0.126
Au4 0.500 0.743 0.374
Pt1 0.000 0.500 0.000
Pt2 0.000 0.000 0.500

---

# 10
Pd2Pt2Au | PBE | relaxed

Output
Space-group type: I4/mmm (139)
Energy above the most stable polymorph in this dataset in meV per atom: 186.0

a = 3.711 Å, b = 3.711 Å, c = 6.938 Å
α = 74.49°, β = 74.49°, γ = 90.00°
Sites, in units of the cell vectors:
Pt1 0.401 0.401 0.198
Pt2 0.599 0.599 0.802
Pd1 0.750 0.250 0.500
Pd2 0.250 0.750 0.500
Au1 0.000 0.000 0.000

---

# 11
Pd6Pt2Au | PBE | relaxed

Output
Space-group type: C2/c (15)
Energy above the most stable polymorph in this dataset in meV per atom: 23.1

a = 5.063 Å, b = 8.840 Å, c = 8.840 Å
α = 48.16°, β = 97.44°, γ = 97.44°
Sites, in units of the cell vectors:
Pt1 0.549 0.196 0.350
Pt2 0.451 0.804 0.650
Pt3 0.049 0.350 0.196
Pt4 0.951 0.650 0.804
Pd1 0.364 0.447 0.402
Pd2 0.888 0.951 0.390
Pd3 0.843 0.233 0.970
Pd4 0.136 0.598 0.553
Pd5 0.612 0.610 0.049
Pd6 0.112 0.049 0.610
Pd7 0.864 0.402 0.447
Pd8 0.157 0.767 0.030
Pd9 0.388 0.390 0.951
Pd10 0.636 0.553 0.598
Pd11 0.343 0.970 0.233
Pd12 0.657 0.030 0.767
Au1 0.750 0.822 0.178
Au2 0.250 0.178 0.822

---

# 12
Pd7Pt3Au2 | PBE | relaxed

Output
Space-group type: P2/m (10)

a = 2.738 Å, b = 5.118 Å, c = 13.783 Å
α = 89.53°, β = 90.00°, γ = 90.00°
Sites, in units of the cell vectors:
Au1 0.500 0.506 0.674
Au2 0.500 0.494 0.326
Pt1 0.000 0.994 0.336
Pt2 0.000 0.006 0.664
Pt3 0.500 0.500 0.000
Pd1 0.500 0.245 0.503
Pd2 0.500 0.181 0.165
Pd3 0.000 0.692 0.160
Pd4 0.500 0.755 0.497
Pd5 0.000 0.000 0.000
Pd6 0.000 0.308 0.840
Pd7 0.500 0.819 0.835

---

Record order is preserved below.
Formation energy from the elements: -0.021, 0.025, 0.184, 0.001, 0.165, 0.002, 0.173, 0.161, -0.020, 0.330, 0.083, 0.066 eV/atom
Record order is preserved below.
Volume: 324.4, 142.7, 243.2, 154.3, 237.8, 253.5, 171.8, 268.6, 256.9, 88.5, 291.8, 193.1 Å³/cell
Record order is preserved below.
Final energy: -4.724, -4.422, -4.583, -4.103, -4.875, -5.481, -4.530, -4.323, -4.840, -4.819, -5.085, -5.019 eV/atom